Record 1
The following is a DFT calculation (PBE-GGA) of crystalline LaOsClF2 at its relaxed geometry.

a = 4.5072 Å, b = 6.1384 Å, c = 4.5072 Å
α = 90.00°, β = 90.00°, γ = 90.00°
Fractional positions:
1 Cl 0.5000 0.5000 0.5000
2 Os 0.0000 0.5000 0.0000
3 La 0.0000 0.0000 0.0000
4 F 0.5000 0.0000 0.0000
5 F 0.0000 0.0000 0.5000

## Properties
Mass density   5.36 g/cm3
SG   P4/mmm (123)
Formation energy without anion corrections   -1.249 eV per atom
Electronic total energy   -5.5981 eV per atom

***

Record 2
The following is a DFT calculation (PBE-GGA) of crystalline La8Os3Cl4F at its relaxed geometry.

a = 8.2435 Å, b = 8.9920 Å, c = 8.2454 Å
α = 117.29°, β = 119.99°, γ = 90.00°
Fractional positions:
1 La 0.7257 0.7035 0.9646
2 Cl 0.0000 0.0000 0.0000
3 Os 0.5000 0.5000 0.5000
4 La 0.7611 0.2965 0.0354
5 Cl 0.0000 0.0000 0.5000
6 La 0.2743 0.2965 0.0354
7 Cl 0.5000 0.0000 0.5000
8 La 0.2632 0.2897 0.5265
9 Cl 0.5000 0.0000 0.0000
10 F 0.0000 0.5000 0.0000
11 La 0.2389 0.7035 0.9646
12 Os 0.0000 0.5000 0.5000
13 La 0.7368 0.7103 0.4735
14 La 0.7608 0.2962 0.5217
15 Os 0.5000 0.5000 0.0000
16 La 0.2392 0.7038 0.4783

## Properties
Mass density   6.81 g/cm3
SG   R-3m (166)
Formation energy without anion corrections   -1.221 eV per atom
Electronic total energy   -6.3688 eV per atom

***

Record 3
The following is a DFT calculation (PBE-GGA) of crystalline LaP2ClF at its relaxed geometry.

a = 5.9230 Å, b = 5.9230 Å, c = 5.4501 Å
α = 90.00°, β = 90.00°, γ = 90.00°
Fractional positions:
1 La 0.0000 0.0000 0.0000
2 F 0.5000 0.5000 0.5000
3 Cl 0.0000 0.0000 0.5000
4 P 0.5000 0.0000 0.0000
5 P 0.0000 0.5000 0.0000

## Properties
E above lowest polymorph   837.4 meV per atom
Mass density   2.22 g/cm3
SG   P4/mmm (123)
Formation energy without anion corrections   -0.012 eV per atom
Electronic total energy   -3.9047 eV per atom

***

Record 4
The following is a DFT calculation (PBE-GGA) of crystalline LaP2ClF at its relaxed geometry.

a = 4.2253 Å, b = 4.2253 Å, c = 5.3753 Å
α = 90.00°, β = 90.00°, γ = 90.00°
Fractional positions:
1 F 0.0000 0.0000 0.0000
2 Cl 0.0000 0.0000 0.5000
3 P 0.0000 0.5000 0.0000
4 La 0.5000 0.5000 0.5000
5 P 0.5000 0.0000 0.0000

## Properties
E above lowest polymorph   0.0 meV per atom
Mass density   4.42 g/cm3
SG   P4/mmm (123)
Formation energy without anion corrections   -0.849 eV per atom
Electronic total energy   -4.7421 eV per atom

***

Record 5
The following is a DFT calculation (PBE-GGA) of crystalline LaPtClF2 at its relaxed geometry.

a = 4.4923 Å, b = 5.9218 Å, c = 4.4923 Å
α = 90.00°, β = 90.00°, γ = 90.00°
Fractional positions:
1 La 0.0000 0.0000 0.0000
2 F 0.5000 0.0000 0.0000
3 Pt 0.5000 0.5000 0.5000
4 Cl 0.0000 0.5000 0.0000
5 F 0.0000 0.0000 0.5000

## Properties
Mass density   5.66 g/cm3
SG   P4/mmm (123)
Formation energy without anion corrections   -1.923 eV per atom
Electronic total energy   -5.2346 eV per atom

***

Record 6
The following is a DFT calculation (PBE-GGA) of crystalline Rb2LaCl6F at its relaxed geometry.

a = 8.4025 Å, b = 8.4025 Å, c = 7.4817 Å
α = 55.84°, β = 55.84°, γ = 90.00°
Fractional positions:
1 Cl 0.2312 0.7688 0.0000
2 La 0.0000 0.0000 0.0000
3 F 0.5000 0.5000 0.0000
4 Cl 0.2892 0.2892 0.4217
5 Rb 0.7500 0.2500 0.5000
6 Cl 0.7688 0.2312 0.0000
7 Rb 0.2500 0.7500 0.5000
8 Cl 0.2312 0.2312 0.0000
9 Cl 0.7688 0.7688 0.0000
10 Cl 0.7108 0.7108 0.5783

## Properties
Mass density   2.80 g/cm3
SG   I4/mmm (139)
Formation energy without anion corrections   -1.633 eV per atom
Electronic total energy   -3.6146 eV per atom

***

Record 7
The following is a DFT calculation (PBE-GGA) of crystalline Rb2LaClF6 at its relaxed geometry.

a = 6.5926 Å, b = 6.5926 Å, c = 7.1338 Å
α = 62.48°, β = 62.48°, γ = 90.00°
Fractional positions:
1 F 0.7527 0.7527 0.0000
2 F 0.2115 0.2115 0.5769
3 F 0.2473 0.2473 0.0000
4 F 0.7527 0.2473 0.0000
5 F 0.7885 0.7885 0.4231
6 F 0.2473 0.7527 0.0000
7 La 0.0000 0.0000 0.0000
8 Rb 0.2500 0.7500 0.5000
9 Cl 0.5000 0.5000 0.0000
10 Rb 0.7500 0.2500 0.5000

## Properties
Mass density   3.25 g/cm3
SG   I4/mmm (139)
Formation energy without anion corrections   -2.605 eV per atom
Electronic total energy   -4.5983 eV per atom

***

Record 8
The following is a DFT calculation (PBE-GGA) of crystalline La8Rh3Cl4F at its relaxed geometry.

a = 8.1604 Å, b = 8.9576 Å, c = 8.1636 Å
α = 117.10°, β = 119.99°, γ = 90.00°
Fractional positions:
1 Rh 0.0000 0.5000 0.5000
2 La 0.2364 0.7137 0.4728
3 La 0.7415 0.7133 0.9775
4 Rh 0.5000 0.5000 0.5000
5 Cl 0.5000 0.0000 0.0000
6 Cl 0.0000 0.0000 0.0000
7 La 0.7640 0.2867 0.0225
8 La 0.7636 0.2863 0.5272
9 Cl 0.5000 0.0000 0.5000
10 Cl 0.0000 0.0000 0.5000
11 La 0.2360 0.7133 0.9775
12 F 0.0000 0.5000 0.0000
13 La 0.2585 0.2867 0.0225
14 Rh 0.5000 0.5000 0.0000
15 La 0.2645 0.2934 0.5289
16 La 0.7355 0.7066 0.4711

## Properties
Mass density   5.97 g/cm3
SG   R-3m (166)
Formation energy without anion corrections   -1.414 eV per atom
Electronic total energy   -5.8349 eV per atom

***

Record 9
The following is a DFT calculation (PBE-GGA) of crystalline La6Ru2Cl3F at its relaxed geometry.

a = 7.0481 Å, b = 7.0481 Å, c = 8.0417 Å
α = 98.41°, β = 98.41°, γ = 120.12°
Fractional positions:
1 Ru 0.6662 0.3338 0.0000
2 La 0.2724 0.2724 0.7964
3 La 0.0683 0.4087 0.2049
4 Cl 0.1746 0.8254 0.5000
5 La 0.7276 0.7276 0.2036
6 Cl 0.5000 0.5000 0.5000
7 Ru 0.3338 0.6662 0.0000
8 La 0.9317 0.5913 0.7951
9 La 0.4087 0.0683 0.2049
10 F 0.0000 0.0000 0.0000
11 La 0.5913 0.9317 0.7951
12 Cl 0.8254 0.1746 0.5000

## Properties
Mass density   5.84 g/cm3
SG   C2/m (12)
Formation energy without anion corrections   -1.383 eV per atom
Electronic total energy   -6.0107 eV per atom

***

Record 10
The following is a DFT calculation (PBE-GGA) of crystalline La2SClF at its relaxed geometry.

a = 5.3565 Å, b = 5.1469 Å, c = 5.3565 Å
α = 90.00°, β = 90.00°, γ = 90.00°
Fractional positions:
1 La 0.0000 0.0000 0.5000
2 F 0.0000 0.5000 0.0000
3 La 0.5000 0.0000 0.0000
4 Cl 0.5000 0.5000 0.5000
5 S 0.0000 0.0000 0.0000

## Properties
Mass density   4.10 g/cm3
SG   P4/mmm (123)
Formation energy without anion corrections   -1.447 eV per atom
Electronic total energy   -4.9873 eV per atom

***

Record 11
The following is a DFT calculation (PBE-GGA) of crystalline LaZnCl2F at its relaxed geometry.

a = 5.5905 Å, b = 4.3054 Å, c = 5.5905 Å
α = 90.00°, β = 90.00°, γ = 90.00°
Fractional positions:
1 Cl 0.0000 0.0000 0.5000
2 F 0.0000 0.0000 0.0000
3 La 0.0000 0.5000 0.0000
4 Cl 0.5000 0.0000 0.0000
5 Zn 0.5000 0.5000 0.5000

## Properties
Mass density   3.63 g/cm3
SG   P4/mmm (123)
Formation energy without anion corrections   -1.679 eV per atom
Electronic total energy   -4.0323 eV per atom

***

Record 12
The following is a DFT calculation (PBE-GGA) of crystalline LaZnClF2 at its relaxed geometry.

a = 5.1661 Å, b = 4.2159 Å, c = 5.1661 Å
α = 90.00°, β = 90.00°, γ = 90.00°
Fractional positions:
1 Cl 0.0000 0.0000 0.0000
2 La 0.5000 0.5000 0.5000
3 F 0.0000 0.0000 0.5000
4 Zn 0.0000 0.5000 0.0000
5 F 0.5000 0.0000 0.0000

## Properties
Mass density   4.10 g/cm3
SG   P4/mmm (123)
Formation energy without anion corrections   -1.035 eV per atom
Electronic total energy   -3.3928 eV per atom